Entry 1:
The following is a DFT calculation (PBE-GGA) of a relaxed structure of Sc4MnFe.

Summary:
Density of states at the Fermi level = 12.37 states/eV/f.u.
Energy relative to the elements = 0.709 eV/atom
Energy = -6.45 eV/atom

a = 5.645 Å, b = 5.645 Å, c = 5.645 Å
α = 60.00°, β = 60.00°, γ = 60.00°
Atoms (fractional coordinates):
Sc 0.874 0.375 0.375
Sc 0.375 0.375 0.874
Sc 0.375 0.874 0.375
Sc 0.375 0.375 0.375
Mn 0.000 0.000 0.000
Fe 0.750 0.750 0.750

Entry 2:
The following is a DFT calculation (PBE-GGA) of a relaxed structure of B2C.

Summary:
Density of states at the Fermi level = 0.24 states/eV/f.u.
Energy relative to the elements = 0.633 eV/atom
E above lowest polymorph = 447.5 meV per atom
Energy = -6.89 eV/atom

a = 2.812 Å, b = 3.071 Å, c = 3.685 Å
α = 66.40°, β = 66.30°, γ = 89.92°
Atoms (fractional coordinates):
C 0.342 0.077 0.833
B 0.719 0.957 0.066
B 0.585 0.326 0.342